# 1
VASP calculation (PBE) on a relaxed InMo4 crystal.

Cell lengths 5.9345, 5.9345, 5.9345 Å; angles 90.00, 90.00, 90.00 degrees
With the nearest neighbours (Å) after each atom.
Space group Im-3m (No. 229)
Inequivalent atoms, fractional coordinates:
In 0.0000 0.0000 0.0000  8 Mo 2.57
Mo 0.2500 0.2500 0.2500  2 In 2.57

Computed properties:
The calculation puts the formation energy at 1.9967 eV/atom. The value obtained for the total energy is -72.16 eV for the cell shown. Its size of the total moment is 0.00 Bohr magnetons per cell. The crystal system is cubic. As for the relative energy among the computed polymorphs: 8.43 eV per formula unit.

# 2
VASP calculation (PBE) on a relaxed InMo2 crystal.

Cell lengths 10.5373, 3.2238, 6.5944 Å; angles 90.00, 106.80, 90.00 degrees
With the nearest neighbours (Å) after each atom.
Space group Cm (No. 8)
Inequivalent atoms, fractional coordinates:
In 0.0000 0.0000 0.0000  8 Mo 2.85-2.99, 2 In 2.98
In 0.1864 0.5000 0.3382  8 Mo 2.85-2.99, 2 In 2.98
Mo 0.1117 0.5000 0.7299  6 Mo 2.60-2.88, 3 In 2.89-2.91
Mo 0.2876 0.0000 0.0520  1 Mo 2.49
Mo 0.3193 0.0000 0.6917  3 Mo 2.49-2.79
Mo 0.4734 0.5000 0.4394  2 Mo 2.60, 1 In 2.90

Computed properties:
The calculation puts the formation energy at 0.3802 eV/atom. The value obtained for the total energy is -93.04 eV for the cell shown. Its size of the total moment is 0.00 Bohr magnetons per cell. The crystal system is monoclinic. As for the relative energy among the computed polymorphs: 0.64 eV per formula unit.

Question: Which value of relative energy among the computed polymorphs does entry 1 give?
Answer: 8.43 eV per formula unit

Question: Which formula does entry 1 have?
Answer: InMo4

Question: Among the records above, which one has the highest relative energy among the computed polymorphs?
Answer: InMo4

Question: Which formula does entry 2 have?
Answer: InMo2